VASP calculation (GGA-PBE) on an optimized crystal structure of VFeReC2.

Values from the calculation:
space group = P4/mmm, No. 123
VASP energy = -7.9417 eV per atom
DOS(E_F) = 1.029 states/eV/atom
formation energy = 1754 meV per atom

a b c (Å): 3.9251 4.7392 3.9251
angles (deg): 90.00 90.00 90.00
Positions (direct):
Re  0.0000  0.0000  0.0000
C  0.0000  0.0000  0.5000
C  0.5000  0.0000  0.0000
Fe  0.0000  0.5000  0.0000
V  0.5000  0.5000  0.5000



VASP calculation (GGA-PBE) on an optimized crystal structure of Ca2AlZn.

Values from the calculation:
space group = Fmmm, No. 69
VASP energy = -2.1621 eV per atom
DOS(E_F) = 0.558 states/eV/atom
formation energy = 93 meV per atom

a b c (Å): 9.0933 9.0763 9.0933
angles (deg): 156.69 33.56 156.69
Positions (direct):
Zn  0.5000  0.0000  0.5000
Ca  0.3359  0.0000  0.3359
Ca  0.6641  0.0000  0.6641
Al  0.0000  0.0000  0.0000



VASP calculation (GGA-PBE) on an optimized crystal structure of AcSm8Dy2.

Values from the calculation:
space group = Immm, No. 71
VASP energy = -4.5152 eV per atom
DOS(E_F) = 1.431 states/eV/atom
formation energy = 127 meV per atom

a b c (Å): 5.6051 8.4695 9.5406
angles (deg): 116.35 107.08 90.00
Positions (direct):
Ac  0.5000  0.0000  0.0000
Sm  0.6451  0.8478  0.2903
Sm  0.3549  0.5575  0.7097
Sm  0.1613  0.1613  0.3226
Sm  0.0000  0.2981  0.0000
Sm  0.8387  0.8387  0.6774
Sm  0.6451  0.4425  0.2903
Sm  0.3549  0.1522  0.7097
Sm  0.0000  0.7019  0.0000
Dy  0.1998  0.6998  0.3997
Dy  0.8002  0.3002  0.6003



Q: Look up the DOS(E_F) of the third one.
A: 1.431 states/eV/atom